{"formula": "YPa2Mn9", "functional": "PBE-GGA", "state": "optimized geometry", "lattice": [[5.123, 0.000, 0.000], [0.000, 8.397, 0.000], [0.000, 0.000, 8.397]], "species": ["Y", "Y", "Pa", "Pa", "Pa", "Pa", "Mn", "Mn", "Mn", "Mn", "Mn", "Mn", "Mn", "Mn", "Mn", "Mn", "Mn", "Mn", "Mn", "Mn", "Mn", "Mn", "Mn", "Mn"], "frac_coords": [[0.000, 0.500, 0.500], [0.000, 0.000, 0.000], [0.000, 0.627, 0.127], [0.000, 0.373, 0.873], [0.000, 0.127, 0.373], [0.000, 0.873, 0.627], [0.500, 0.500, 0.000], [0.500, 0.000, 0.500], [0.500, 0.707, 0.571], [0.500, 0.293, 0.429], [0.500, 0.207, 0.929], [0.500, 0.793, 0.071], [0.500, 0.429, 0.707], [0.500, 0.571, 0.293], [0.500, 0.071, 0.207], [0.500, 0.929, 0.793], [0.750, 0.822, 0.322], [0.750, 0.178, 0.678], [0.750, 0.322, 0.178], [0.750, 0.678, 0.822], [0.250, 0.178, 0.678], [0.250, 0.822, 0.322], [0.250, 0.678, 0.822], [0.250, 0.322, 0.178]], "crystal_system": "tetragonal", "e_form_ev_per_fu": 0.304, "space_group": "P4/mbm, No. 127"}